The following is a DFT calculation (PBE+U) of a relaxed structure of Y2CoTe2S2O14.

Lattice parameters (Å, degrees): 5.503 8.218 8.381 62.99 68.50 83.74
Fractional coordinates of all 21 atoms:
Y: 0.636 0.767 0.025
Y: 0.364 0.233 0.975
O: 0.064 0.812 0.808
O: 0.260 0.576 0.339
O: 0.740 0.424 0.661
O: 0.722 0.472 0.074
O: 0.626 0.284 0.418
O: 0.209 0.302 0.737
O: 0.737 0.075 0.887
O: 0.476 0.181 0.236
O: 0.374 0.716 0.582
O: 0.263 0.925 0.113
O: 0.791 0.698 0.263
O: 0.524 0.819 0.764
O: 0.936 0.188 0.192
O: 0.278 0.528 0.926
Co: 0.500 0.500 0.500
Te: 0.019 0.760 0.354
Te: 0.981 0.240 0.646
S: 0.690 0.283 0.230
S: 0.310 0.717 0.770

Values from the calculation:
As for the total magnetic moment: 3.024 μB/cell. The calculation puts the density of states at the Fermi level at 0.0000 states/eV/atom. Its space group is P-1. As for the total DFT energy (no corrections): -6.74 eV/atom.